1.
This record from Alexandria describes a relaxed structure of Hg2PbN2. The functional is PBE.

Cell lengths 10.047, 3.149, 10.736 Å; angles 90.00, 90.73, 90.00 degrees
Atoms (fractional coordinates):
Hg1 0.246 0.000 0.174
Hg2 0.254 0.500 0.826
Hg3 0.746 0.500 0.174
Hg4 0.754 0.000 0.826
Pb1 0.000 0.500 0.000
Pb2 0.500 0.000 0.000
N1 0.055 0.500 0.502
N2 0.445 0.000 0.498
N3 0.555 0.000 0.502
N4 0.945 0.500 0.498

Summary:
Density (g/cm3): 6.223
Space group: C2/m (12)
Calculated total energy (eV per cell): -40.6
E_form (uncorrected) (eV/atom): 0.14



2.
This record from Alexandria describes a relaxed structure of Hg3PbN. The functional is PBE.

Cell lengths 4.887, 4.887, 4.887 Å; angles 90.00, 90.00, 90.00 degrees
Atoms (fractional coordinates):
Hg1 0.000 0.000 0.500
Hg2 0.000 0.500 0.000
Hg3 0.500 0.000 0.000
Pb1 0.500 0.500 0.500
N1 0.000 0.000 0.000

Summary:
Density (g/cm3): 11.707
Space group: Pm-3m (221)
Calculated total energy (eV per cell): -8.9
Polymorph energy (0 for the lowest one) (meV/atom): 267
E_form (uncorrected) (eV/atom): 0.80



3.
This record from Alexandria describes a relaxed structure of HgPbN3. The functional is PBE.

Cell lengths 4.399, 4.399, 4.399 Å; angles 90.00, 90.00, 90.00 degrees
Atoms (fractional coordinates):
Hg1 0.000 0.000 0.000
Pb1 0.500 0.500 0.500
N1 0.000 0.500 0.500
N2 0.500 0.000 0.500
N3 0.500 0.500 0.000

Summary:
Density (g/cm3): 8.775
Space group: Pm-3m (221)
Calculated total energy (eV per cell): -17.7
E_form (uncorrected) (eV/atom): 2.25



4.
This record from Alexandria describes a relaxed structure of HgPbN3. The functional is PBE.

Cell lengths 4.319, 4.319, 4.319 Å; angles 90.00, 90.00, 90.00 degrees
Atoms (fractional coordinates):
Hg1 0.000 0.000 0.000
Pb1 0.500 0.500 0.500
N1 0.000 0.000 0.500
N2 0.000 0.500 0.000
N3 0.500 0.000 0.000

Summary:
Density (g/cm3): 9.271
Space group: Pm-3m (221)
Calculated total energy (eV per cell): -18.1
E_form (uncorrected) (eV/atom): 2.18